(1)
VASP calculation (GGA-PBE) on crystalline AgAu3 at its relaxed geometry.

The structure in CIF format:
```
data_AgAu3
_cell_length_a 6.041
_cell_length_b 8.141
_cell_length_c 2.929
_cell_angle_alpha 90.00
_cell_angle_beta 90.00
_cell_angle_gamma 90.00
_symmetry_space_group_name_H-M 'C m m m'
_symmetry_Int_Tables_number 65
_symmetry_space_group_name_Hall '-C 2 2'
loop_
_atom_site_label
_atom_site_type_symbol
_atom_site_fract_x
_atom_site_fract_y
_atom_site_fract_z
Ag1 Ag 0.000 0.000 0.000
Au1 Au 0.000 0.500 0.000
Au2 Au 0.250 0.250 0.500
```

DFT formation energy   -12 kJ/mol of formula units
Total moment   0.0 μB per cell
VASP energy   -3.202 eV/atom
Fermi-level density of states   2.2 states/eV per cell

***

(2)
VASP calculation (GGA-PBE) on crystalline FeSi3Pt at its relaxed geometry.

The structure in CIF format:
```
data_FeSi3Pt
_cell_length_a 4.301
_cell_length_b 4.301
_cell_length_c 4.301
_cell_angle_alpha 90.00
_cell_angle_beta 90.00
_cell_angle_gamma 90.00
_symmetry_space_group_name_H-M 'P m -3 m'
_symmetry_Int_Tables_number 221
_symmetry_space_group_name_Hall '-P 4 2 3'
loop_
_atom_site_label
_atom_site_type_symbol
_atom_site_fract_x
_atom_site_fract_y
_atom_site_fract_z
Fe1 Fe 0.000 0.000 0.000
Si1 Si 0.000 0.000 0.500
Pt1 Pt 0.500 0.500 0.500
```

Total moment   0.0 μB per cell
VASP energy   -5.946 eV/atom
Formation energy without anion corrections   209 meV per atom
Fermi-level density of states   0.9 states/eV per cell

***

(3)
VASP calculation (GGA-PBE) on crystalline ReAg2S at its relaxed geometry.

The structure in CIF format:
```
data_ReAg2S
_cell_length_a 8.187
_cell_length_b 8.187
_cell_length_c 4.558
_cell_angle_alpha 90.00
_cell_angle_beta 90.00
_cell_angle_gamma 90.00
_symmetry_space_group_name_H-M 'I -4 2 d'
_symmetry_Int_Tables_number 122
_symmetry_space_group_name_Hall 'I -4 2bw'
loop_
_atom_site_label
_atom_site_type_symbol
_atom_site_fract_x
_atom_site_fract_y
_atom_site_fract_z
Re1 Re 0.000 0.000 0.000
Ag1 Ag 0.174 0.750 0.625
S1 S 0.000 0.000 0.500
```

Total moment   6.6 μB per cell
VASP energy   -4.677 eV/atom
Formation energy without anion corrections   892 meV per atom
Fermi-level density of states   10.0 states/eV per cell

***

Q: Number 3 is which compound?
A: ReAg2S

***

Q: What is the Fermi-level density of states in the third record?
A: 10.0 states/eV per cell